Model P:
# KZnHg2Au | Alexandria via LeMat-Bulk | GGA-PBE | relaxed
data_KZnHg2Au
_chemical_formula_sum 'K1 Zn1 Hg2 Au1'
_symmetry_space_group_name_H-M 'P 4/m m m'
_symmetry_Int_Tables_number 123
_symmetry_space_group_name_Hall '-P 4 2'
_cell_length_a 5.420
_cell_length_b 5.420
_cell_length_c 5.087
_cell_angle_alpha 90.00
_cell_angle_beta 90.00
_cell_angle_gamma 90.00
loop_
_atom_site_label
_atom_site_type_symbol
_atom_site_fract_x
_atom_site_fract_y
_atom_site_fract_z
_atom_site_occupancy
K1 K 0.000 0.000 0.000 1
Zn1 Zn 0.500 0.500 0.500 1
Hg1 Hg 0.000 0.500 0.500 1
Au1 Au 0.500 0.500 0.000 1
# crystal system = tetragonal
# total magnetization = 0.00 Bohr magnetons per cell
# density of states at the Fermi level = 1.9 states/eV/f.u.

---

Model Q:
# KZnHg2Au | Alexandria via LeMat-Bulk | GGA-PBE | relaxed
data_KZnHg2Au
_chemical_formula_sum 'K1 Zn1 Hg2 Au1'
_symmetry_space_group_name_H-M 'P 4/m m m'
_symmetry_Int_Tables_number 123
_symmetry_space_group_name_Hall '-P 4 2'
_cell_length_a 5.519
_cell_length_b 5.519
_cell_length_c 5.021
_cell_angle_alpha 90.00
_cell_angle_beta 90.00
_cell_angle_gamma 90.00
loop_
_atom_site_label
_atom_site_type_symbol
_atom_site_fract_x
_atom_site_fract_y
_atom_site_fract_z
_atom_site_occupancy
K1 K 0.000 0.000 0.000 1
Zn1 Zn 0.500 0.500 0.000 1
Hg1 Hg 0.000 0.500 0.500 1
Au1 Au 0.500 0.500 0.500 1
# crystal system = tetragonal
# total magnetization = 0.00 Bohr magnetons per cell
# density of states at the Fermi level = 2.5 states/eV/f.u.

---

The structure with the least stability is model Q.

---

Model P:
# LaHg3Au | Alexandria via LeMat-Bulk | GGA-PBE | relaxed
data_LaHg3Au
_chemical_formula_sum 'La4 Hg12 Au4'
_symmetry_space_group_name_H-M 'P n m a'
_symmetry_Int_Tables_number 62
_cell_length_a 10.108
_cell_length_b 5.191
_cell_length_c 9.587
_cell_angle_alpha 90.00
_cell_angle_beta 90.00
_cell_angle_gamma 90.00
loop_
_symmetry_equiv_pos_as_xyz
'x,y,z'
'-x,-y,-z'
'-x+1/2,-y,z+1/2'
'x+1/2,y,-z+1/2'
'x+1/2,-y+1/2,-z+1/2'
'-x+1/2,y+1/2,z+1/2'
'-x,y+1/2,-z'
'x,-y+1/2,z'
loop_
_atom_site_label
_atom_site_type_symbol
_atom_site_fract_x
_atom_site_fract_y
_atom_site_fract_z
_atom_site_occupancy
La1 La 0.250 0.250 0.007 1
Hg1 Hg 0.074 0.250 0.645 1
Hg2 Hg 0.075 0.750 0.886 1
Hg3 Hg 0.122 0.250 0.338 1
Au1 Au 0.147 0.750 0.180 1
# crystal system = orthorhombic
# total magnetization = 0.00 Bohr magnetons per cell
# density of states at the Fermi level = 2.7 states/eV/f.u.

---

Model Q:
# LaHg3Au | Alexandria via LeMat-Bulk | GGA-PBE | relaxed
data_LaHg3Au
_chemical_formula_sum 'La1 Hg3 Au1'
_symmetry_space_group_name_H-M 'P m -3 m'
_symmetry_Int_Tables_number 221
_symmetry_space_group_name_Hall '-P 4 2 3'
_cell_length_a 5.274
_cell_length_b 5.274
_cell_length_c 5.274
_cell_angle_alpha 90.00
_cell_angle_beta 90.00
_cell_angle_gamma 90.00
loop_
_atom_site_label
_atom_site_type_symbol
_atom_site_fract_x
_atom_site_fract_y
_atom_site_fract_z
_atom_site_occupancy
La1 La 0.000 0.000 0.000 1
Hg1 Hg 0.000 0.500 0.500 1
Au1 Au 0.500 0.500 0.500 1
# crystal system = cubic
# total magnetization = 0.00 Bohr magnetons per cell
# density of states at the Fermi level = 4.1 states/eV/f.u.

---

The structure with the least stability is model Q.

---

Model P:
# La3HgAu | Alexandria via LeMat-Bulk | GGA-PBE | relaxed
data_La3HgAu
_chemical_formula_sum 'La3 Hg1 Au1'
_symmetry_space_group_name_H-M 'P m -3 m'
_symmetry_Int_Tables_number 221
_symmetry_space_group_name_Hall '-P 4 2 3'
_cell_length_a 5.798
_cell_length_b 5.798
_cell_length_c 5.798
_cell_angle_alpha 90.00
_cell_angle_beta 90.00
_cell_angle_gamma 90.00
loop_
_atom_site_label
_atom_site_type_symbol
_atom_site_fract_x
_atom_site_fract_y
_atom_site_fract_z
_atom_site_occupancy
La1 La 0.000 0.000 0.500 1
Hg1 Hg 0.500 0.500 0.500 1
Au1 Au 0.000 0.000 0.000 1
# crystal system = cubic
# total magnetization = 0.02 Bohr magnetons per cell
# density of states at the Fermi level = 14.8 states/eV/f.u.

---

Model Q:
# La3HgAu | Alexandria via LeMat-Bulk | GGA-PBE | relaxed
data_La3HgAu
_chemical_formula_sum 'La12 Hg4 Au4'
_symmetry_space_group_name_H-M 'C m m m'
_symmetry_Int_Tables_number 65
_symmetry_space_group_name_Hall '-C 2 2'
_cell_length_a 10.337
_cell_length_b 15.670
_cell_length_c 4.180
_cell_angle_alpha 90.00
_cell_angle_beta 90.00
_cell_angle_gamma 90.00
loop_
_atom_site_label
_atom_site_type_symbol
_atom_site_fract_x
_atom_site_fract_y
_atom_site_fract_z
_atom_site_occupancy
La1 La 0.000 0.160 0.000 1
La2 La 0.196 0.391 0.500 1
Hg1 Hg 0.000 0.000 0.500 1
Hg2 Hg 0.000 0.500 0.000 1
Au1 Au 0.250 0.250 0.000 1
# crystal system = orthorhombic
# total magnetization = 0.00 Bohr magnetons per cell
# density of states at the Fermi level = 5.2 states/eV/f.u.

---

Model R:
# La3HgAu | Alexandria via LeMat-Bulk | GGA-PBE | relaxed
data_La3HgAu
_chemical_formula_sum 'La12 Hg4 Au4'
_symmetry_space_group_name_H-M 'C m c m'
_symmetry_Int_Tables_number 63
_symmetry_space_group_name_Hall '-C 2c 2'
_cell_length_a 5.475
_cell_length_b 19.886
_cell_length_c 5.476
_cell_angle_alpha 90.00
_cell_angle_beta 90.00
_cell_angle_gamma 90.00
loop_
_atom_site_label
_atom_site_type_symbol
_atom_site_fract_x
_atom_site_fract_y
_atom_site_fract_z
_atom_site_occupancy
La1 La 0.000 0.061 0.250 1
La2 La 0.000 0.249 0.250 1
La3 La 0.000 0.437 0.250 1
Hg1 Hg 0.000 0.151 0.750 1
Au1 Au 0.000 0.351 0.750 1
# crystal system = orthorhombic
# total magnetization = 1.41 Bohr magnetons per cell
# density of states at the Fermi level = 5.2 states/eV/f.u.

---

The structure with the least stability is model P.

---

Model P:
# La2Hg2Au | Alexandria via LeMat-Bulk | GGA-PBE | relaxed
data_La2Hg2Au
_chemical_formula_sum 'La4 Hg4 Au2'
_symmetry_space_group_name_H-M 'C 1 2/m 1'
_symmetry_Int_Tables_number 12
_cell_length_a 11.438
_cell_length_b 4.405
_cell_length_c 7.069
_cell_angle_alpha 90.00
_cell_angle_beta 128.12
_cell_angle_gamma 90.00
loop_
_symmetry_equiv_pos_as_xyz
'x,y,z'
'-x,-y,-z'
'-x,y,-z'
'x,-y,z'
'x+1/2,y+1/2,z'
'-x+1/2,-y+1/2,-z'
'-x+1/2,y+1/2,-z'
'x+1/2,-y+1/2,z'
loop_
_atom_site_label
_atom_site_type_symbol
_atom_site_fract_x
_atom_site_fract_y
_atom_site_fract_z
_atom_site_occupancy
La1 La 0.219 0.000 0.220 1
Hg1 Hg 0.000 0.500 0.218 1
Au1 Au 0.000 0.000 0.500 1
# crystal system = monoclinic
# total magnetization = 0.00 Bohr magnetons per cell
# density of states at the Fermi level = 5.2 states/eV/f.u.

---

Model Q:
# La2Hg2Au | Alexandria via LeMat-Bulk | GGA-PBE | relaxed
data_La2Hg2Au
_chemical_formula_sum 'La4 Hg4 Au2'
_symmetry_space_group_name_H-M 'P 4/m b m'
_symmetry_Int_Tables_number 127
_symmetry_space_group_name_Hall '-P 4 2ab'
_cell_length_a 7.907
_cell_length_b 7.907
_cell_length_c 4.501
_cell_angle_alpha 90.00
_cell_angle_beta 90.00
_cell_angle_gamma 90.00
loop_
_atom_site_label
_atom_site_type_symbol
_atom_site_fract_x
_atom_site_fract_y
_atom_site_fract_z
_atom_site_occupancy
La1 La 0.170 0.330 0.000 1
Hg1 Hg 0.133 0.633 0.500 1
Au1 Au 0.000 0.000 0.500 1
# crystal system = tetragonal
# total magnetization = 0.00 Bohr magnetons per cell
# density of states at the Fermi level = 5.8 states/eV/f.u.

---

The structure with the least stability is model Q.

---

Model P:
# La2Hg2Au | Alexandria via LeMat-Bulk | GGA-PBE | relaxed
data_La2Hg2Au
_chemical_formula_sum 'La4 Hg4 Au2'
_symmetry_space_group_name_H-M 'I 4/m m m'
_symmetry_Int_Tables_number 139
_symmetry_space_group_name_Hall '-I 4 2'
_cell_length_a 4.089
_cell_length_b 4.089
_cell_length_c 17.654
_cell_angle_alpha 90.00
_cell_angle_beta 90.00
_cell_angle_gamma 90.00
loop_
_atom_site_label
_atom_site_type_symbol
_atom_site_fract_x
_atom_site_fract_y
_atom_site_fract_z
_atom_site_occupancy
La1 La 0.000 0.000 0.096 1
Hg1 Hg 0.000 0.500 0.250 1
Au1 Au 0.000 0.000 0.500 1
# crystal system = tetragonal
# total magnetization = 0.00 Bohr magnetons per cell
# density of states at the Fermi level = 5.8 states/eV/f.u.

---

Model Q:
# La2Hg2Au | Alexandria via LeMat-Bulk | GGA-PBE | relaxed
data_La2Hg2Au
_chemical_formula_sum 'La4 Hg4 Au2'
_symmetry_space_group_name_H-M 'P 4/m b m'
_symmetry_Int_Tables_number 127
_symmetry_space_group_name_Hall '-P 4 2ab'
_cell_length_a 8.054
_cell_length_b 8.054
_cell_length_c 4.756
_cell_angle_alpha 90.00
_cell_angle_beta 90.00
_cell_angle_gamma 90.00
loop_
_atom_site_label
_atom_site_type_symbol
_atom_site_fract_x
_atom_site_fract_y
_atom_site_fract_z
_atom_site_occupancy
La1 La 0.157 0.343 0.000 1
Hg1 Hg 0.143 0.643 0.500 1
Au1 Au 0.000 0.000 0.000 1
# crystal system = tetragonal
# total magnetization = 0.00 Bohr magnetons per cell
# density of states at the Fermi level = 8.4 states/eV/f.u.

---

The structure with the least stability is model P.